Record 1
{
  "formula": "BaSrPtPbCl",
  "functional": "GGA-PBE",
  "state": "optimized geometry",
  "lattice": [[4.843, 0.000, 0.000], [-2.421, 4.194, 0.000], [0.000, 0.000, 26.550]],
  "species": ["Sr", "Ba", "Pb", "Sr", "Ba", "Pb", "Cl", "Sr", "Pt", "Cl", "Pt", "Ba", "Pt", "Cl", "Pb"],
  "frac_coords": [[0.000, 0.000, 0.308], [0.000, 0.000, 0.463], [0.333, 0.667, 0.380], [0.333, 0.667, 0.975], [0.667, 0.333, 0.796], [0.000, 0.000, 0.713], [0.667, 0.333, 0.531], [0.667, 0.333, 0.641], [0.333, 0.667, 0.708], [0.333, 0.667, 0.865], [0.000, 0.000, 0.041], [0.333, 0.667, 0.130], [0.667, 0.333, 0.375], [0.000, 0.000, 0.198], [0.667, 0.333, 0.046]],
  "formation_energy_uncorrected_ev_per_atom": -1.1869,
  "de_polymorph_mev_per_atom": 0
}

Record 2
{
  "formula": "Sr2Al2Ga",
  "functional": "GGA-PBE",
  "state": "optimized geometry",
  "lattice": [[-1.418, -3.353, 3.073], [-0.330, -2.839, -3.250], [6.693, -0.451, 2.597]],
  "species": ["Sr", "Al", "Ga", "Sr", "Al"],
  "frac_coords": [[0.000, 0.682, 0.364], [0.500, 0.307, 0.615], [0.500, 0.111, 0.221], [0.000, 0.935, 0.870], [0.500, 0.507, 0.014]],
  "formation_energy_ev_per_fu": -1.04
}

Record 3
{
  "formula": "Sc2ReAu",
  "functional": "GGA-PBE",
  "state": "optimized geometry",
  "lattice": [[1.802, 0.000, 9.545], [-0.901, 1.561, 9.545], [-0.901, -1.561, 9.545]],
  "species": ["Sc", "Au", "Sc", "Re"],
  "frac_coords": [[0.903, 0.903, 0.903], [0.000, 0.000, 0.000], [0.097, 0.097, 0.097], [0.500, 0.500, 0.500]],
  "formation_energy_ev_per_fu": 0.44
}

Record 4
{
  "formula": "HoPuTcRh",
  "functional": "GGA-PBE",
  "state": "optimized geometry",
  "lattice": [[-3.860, 0.389, 2.829], [-3.920, -2.619, -0.913], [-1.208, -3.613, 2.923]],
  "species": ["Rh", "Tc", "Ho", "Pu"],
  "frac_coords": [[0.000, 0.000, 0.000], [0.500, 0.500, 0.500], [0.250, 0.250, 0.250], [0.750, 0.750, 0.750]],
  "formation_energy_ev_per_fu": -1.19
}

Record 5
{
  "formula": "Dy2CdCo2",
  "functional": "GGA-PBE",
  "state": "optimized geometry",
  "lattice": [[-1.297, 2.408, 2.815], [1.773, -2.143, 2.649], [4.749, 4.898, -2.001]],
  "species": ["Dy", "Dy", "Cd", "Co", "Co"],
  "frac_coords": [[0.500, 0.362, 0.724], [0.500, 0.638, 0.276], [0.000, 0.000, 0.000], [0.000, 0.208, 0.416], [0.000, 0.792, 0.584]],
  "formation_energy_ev_per_fu": -1.35
}

Record 6
{
  "formula": "LaSiSbI2",
  "functional": "GGA-PBE",
  "state": "optimized geometry",
  "lattice": [[-0.835, -2.351, -4.840], [4.861, -2.429, 0.341], [-2.333, -4.319, 2.501]],
  "species": ["I", "La", "I", "Sb", "Si"],
  "frac_coords": [[0.000, 0.500, 0.000], [0.500, 0.500, 0.500], [0.500, 0.000, 0.000], [0.000, 0.000, 0.500], [0.000, 0.000, 0.000]],
  "formation_energy_uncorrected_ev_per_atom": -0.1491,
  "de_polymorph_mev_per_atom": 0
}

Record 7
{
  "formula": "Li6AlIn5",
  "functional": "GGA-PBE",
  "state": "optimized geometry",
  "lattice": [[4.424, 0.035, -1.252], [-0.972, 6.260, -3.259], [0.025, 0.158, 8.083]],
  "species": ["Li", "Li", "In", "Al", "Li", "In", "Li", "In", "Li", "In", "In", "Li"],
  "frac_coords": [[0.500, 0.753, 0.000], [0.166, 0.413, 0.331], [0.337, 0.838, 0.677], [0.000, 0.000, 0.000], [0.500, 0.247, 0.000], [0.666, 0.667, 0.333], [0.166, 0.918, 0.331], [0.000, 0.500, 0.000], [0.834, 0.587, 0.669], [0.663, 0.162, 0.323], [0.334, 0.333, 0.667], [0.834, 0.082, 0.669]],
  "formation_energy_ev_per_fu": -2.89
}

Record 8
{
  "formula": "BPdC2",
  "functional": "GGA-PBE",
  "state": "optimized geometry",
  "lattice": [[4.352, 0.000, 0.000], [0.000, 4.352, 0.000], [2.176, 2.176, 4.003]],
  "species": ["B", "C", "Pd", "Pd", "C", "C", "B", "C"],
  "frac_coords": [[0.250, 0.750, 0.500], [0.539, 0.125, 0.250], [0.000, 0.000, 0.000], [0.750, 0.250, 0.500], [0.375, 0.461, 0.750], [0.875, 0.789, 0.750], [0.500, 0.500, 0.000], [0.211, 0.625, 0.250]],
  "formation_energy_ev_per_fu": 3.45
}

Record 9
{
  "formula": "RbYIO2",
  "functional": "GGA-PBE",
  "state": "optimized geometry",
  "lattice": [[-1.873, -0.571, -4.225], [-3.691, -2.092, 1.919], [-2.746, 5.304, 0.501]],
  "species": ["I", "O", "Rb", "Y", "O"],
  "frac_coords": [[0.000, 0.000, 0.500], [0.500, 0.000, 0.000], [0.000, 0.000, 0.000], [0.500, 0.500, 0.500], [0.000, 0.500, 0.000]],
  "formation_energy_uncorrected_ev_per_atom": 0.0862,
  "de_polymorph_mev_per_atom": 1763
}

Final energy (eV/cell)
-63.4, -14.9, -27.9, -37.8, -25.7, -18.3, -31.8, -53.7, -18.5